[1]
This record from Alexandria via LeMat-Bulk describes crystalline Li2Y at its relaxed geometry. The functional is PBE.

## Properties
* ΔH_f (0 K): 0.2384 eV/atom
* distance to the lowest polymorph of the same formula: 0.132 eV per atom
* total DFT energy (no corrections): -3.192 eV per atom
* crystal system: tetragonal
* spin magnetization: 0.341 μB per cell
* D(E_F): 1.053 states/eV per atom

The structure in CIF format:
```
data_Li2Y
_chemical_formula_sum 'Li8 Y4'
_symmetry_space_group_name_H-M 'I 4/m c m'
_symmetry_Int_Tables_number 140
_symmetry_space_group_name_Hall '-I 4 2c'
_cell_length_a 5.163
_cell_length_b 5.163
_cell_length_c 10.682
_cell_angle_alpha 90.00
_cell_angle_beta 90.00
_cell_angle_gamma 90.00
loop_
_atom_site_label
_atom_site_fract_x
_atom_site_fract_y
_atom_site_fract_z
Li1 0.169 0.331 0.000
Y1 0.000 0.000 0.250
```

[2]
This record from Alexandria via LeMat-Bulk describes crystalline CuPCl2 at its relaxed geometry. The functional is PBE.

## Properties
* distance to the lowest polymorph of the same formula: 0.630 eV per atom
* total DFT energy (no corrections): -3.016 eV per atom
* formation energy from raw total energies: 0.2834 eV/atom
* crystal system: orthorhombic
* spin magnetization: 0.000 μB per cell
* D(E_F): 0.508 states/eV per atom

The structure in CIF format:
```
data_CuPCl2
_chemical_formula_sum 'Cu2 P2 Cl4'
_symmetry_space_group_name_H-M 'C m m m'
_symmetry_Int_Tables_number 65
_symmetry_space_group_name_Hall '-C 2 2'
_cell_length_a 3.208
_cell_length_b 5.928
_cell_length_c 7.949
_cell_angle_alpha 90.00
_cell_angle_beta 90.00
_cell_angle_gamma 90.00
loop_
_atom_site_label
_atom_site_fract_x
_atom_site_fract_y
_atom_site_fract_z
Cu1 0.000 0.000 0.000
P1 0.000 0.000 0.500
Cl1 0.000 0.500 0.210
```

[3]
This record from Alexandria via LeMat-Bulk describes crystalline CsZrAs2Br at its relaxed geometry. The functional is PBE.

## Properties
* distance to the lowest polymorph of the same formula: 0.000 eV per atom
* total DFT energy (no corrections): -4.748 eV per atom
* formation energy from raw total energies: -0.6730 eV/atom
* crystal system: tetragonal
* spin magnetization: 0.000 μB per cell
* D(E_F): 0.349 states/eV per atom

The structure in CIF format:
```
data_CsZrAs2Br
_chemical_formula_sum 'Cs1 Zr1 As2 Br1'
_symmetry_space_group_name_H-M 'P 4/m m m'
_symmetry_Int_Tables_number 123
_symmetry_space_group_name_Hall '-P 4 2'
_cell_length_a 5.227
_cell_length_b 5.227
_cell_length_c 5.913
_cell_angle_alpha 90.00
_cell_angle_beta 90.00
_cell_angle_gamma 90.00
loop_
_atom_site_label
_atom_site_fract_x
_atom_site_fract_y
_atom_site_fract_z
Cs1 0.000 0.000 0.000
Zr1 0.500 0.500 0.500
As1 0.000 0.500 0.500
Br1 0.500 0.500 0.000
```

[4]
This record from Alexandria via LeMat-Bulk describes crystalline LaSe3Br at its relaxed geometry. The functional is PBE.

## Properties
* distance to the lowest polymorph of the same formula: 0.000 eV per atom
* total DFT energy (no corrections): -3.747 eV per atom
* formation energy from raw total energies: -0.3366 eV/atom
* crystal system: cubic
* spin magnetization: 0.000 μB per cell
* D(E_F): 0.209 states/eV per atom

The structure in CIF format:
```
data_LaSe3Br
_chemical_formula_sum 'La1 Se3 Br1'
_symmetry_space_group_name_H-M 'P m -3 m'
_symmetry_Int_Tables_number 221
_symmetry_space_group_name_Hall '-P 4 2 3'
_cell_length_a 5.165
_cell_length_b 5.165
_cell_length_c 5.165
_cell_angle_alpha 90.00
_cell_angle_beta 90.00
_cell_angle_gamma 90.00
loop_
_atom_site_label
_atom_site_fract_x
_atom_site_fract_y
_atom_site_fract_z
La1 0.000 0.000 0.000
Se1 0.000 0.500 0.500
Br1 0.500 0.500 0.500
```

[5]
This record from Alexandria via LeMat-Bulk describes crystalline SbMoBr2 at its relaxed geometry. The functional is PBE.

## Properties
* distance to the lowest polymorph of the same formula: 0.647 eV per atom
* total DFT energy (no corrections): -4.027 eV per atom
* formation energy from raw total energies: 0.5473 eV/atom
* crystal system: monoclinic
* spin magnetization: 6.784 μB per cell
* D(E_F): 0.355 states/eV per atom

The structure in CIF format:
```
data_SbMoBr2
_chemical_formula_sum 'Sb2 Mo2 Br4'
_symmetry_space_group_name_H-M 'C 1 2/m 1'
_symmetry_Int_Tables_number 12
_cell_length_a 6.467
_cell_length_b 9.636
_cell_length_c 4.608
_cell_angle_alpha 90.00
_cell_angle_beta 133.65
_cell_angle_gamma 90.00
loop_
_symmetry_equiv_pos_as_xyz
'x,y,z'
'-x,-y,-z'
'-x,y,-z'
'x,-y,z'
'x+1/2,y+1/2,z'
'-x+1/2,-y+1/2,-z'
'-x+1/2,y+1/2,-z'
'x+1/2,-y+1/2,z'
loop_
_atom_site_label
_atom_site_fract_x
_atom_site_fract_y
_atom_site_fract_z
Sb1 0.000 0.000 0.000
Mo1 0.000 0.500 0.000
Br1 0.250 0.250 0.500
```

[6]
This record from Alexandria via LeMat-Bulk describes crystalline Ti4NiAs at its relaxed geometry. The functional is PBE.

## Properties
* ΔH_f (0 K): -0.1929 eV/atom
* total DFT energy (no corrections): -7.195 eV per atom
* crystal system: monoclinic
* spin magnetization: 0.003 μB per cell
* D(E_F): 1.200 states/eV per atom

The structure in CIF format:
```
data_Ti4NiAs
_chemical_formula_sum 'Ti16 Ni4 As4'
_symmetry_space_group_name_H-M 'C 1 2/c 1'
_symmetry_Int_Tables_number 15
_cell_length_a 14.034
_cell_length_b 6.318
_cell_length_c 5.218
_cell_angle_alpha 90.00
_cell_angle_beta 110.19
_cell_angle_gamma 90.00
loop_
_symmetry_equiv_pos_as_xyz
'x,y,z'
'-x,-y,-z'
'-x,y,-z+1/2'
'x,-y,z+1/2'
'x+1/2,y+1/2,z'
'-x+1/2,-y+1/2,-z'
'-x+1/2,y+1/2,-z+1/2'
'x+1/2,-y+1/2,z+1/2'
loop_
_atom_site_label
_atom_site_fract_x
_atom_site_fract_y
_atom_site_fract_z
Ti1 0.117 0.043 0.172
Ti2 0.183 0.394 0.859
Ni1 0.250 0.250 0.500
As1 0.000 0.262 0.750
```

[7]
This record from Alexandria via LeMat-Bulk describes crystalline ScFeB at its relaxed geometry. The functional is PBE.

## Properties
* ΔH_f (0 K): -0.3805 eV/atom
* total DFT energy (no corrections): -7.538 eV per atom
* crystal system: orthorhombic
* spin magnetization: 0.959 μB per cell
* D(E_F): 0.789 states/eV per atom

The structure in CIF format:
```
data_ScFeB
_chemical_formula_sum 'Sc4 Fe4 B4'
_symmetry_space_group_name_H-M 'I m m m'
_symmetry_Int_Tables_number 71
_symmetry_space_group_name_Hall '-I 2 2'
_cell_length_a 3.041
_cell_length_b 5.157
_cell_length_c 9.274
_cell_angle_alpha 90.00
_cell_angle_beta 90.00
_cell_angle_gamma 90.00
loop_
_atom_site_label
_atom_site_fract_x
_atom_site_fract_y
_atom_site_fract_z
Sc1 0.000 0.000 0.191
Fe1 0.000 0.231 0.500
B1 0.000 0.500 0.093
```

[8]
This record from Alexandria via LeMat-Bulk describes crystalline AcZn4Cu at its relaxed geometry. The functional is PBE.

## Properties
* ΔH_f (0 K): -0.1934 eV/atom
* distance to the lowest polymorph of the same formula: 0.000 eV per atom
* total DFT energy (no corrections): -2.410 eV per atom
* crystal system: orthorhombic
* spin magnetization: 0.000 μB per cell
* D(E_F): 0.559 states/eV per atom

The structure in CIF format:
```
data_AcZn4Cu
_chemical_formula_sum 'Ac2 Zn8 Cu2'
_symmetry_space_group_name_H-M 'P m m a'
_symmetry_Int_Tables_number 51
_cell_length_a 7.799
_cell_length_b 4.104
_cell_length_c 7.364
_cell_angle_alpha 90.00
_cell_angle_beta 90.00
_cell_angle_gamma 90.00
loop_
_symmetry_equiv_pos_as_xyz
'x,y,z'
'-x,-y,-z'
'-x+1/2,-y,z'
'x+1/2,y,-z'
'x+1/2,-y,-z'
'-x+1/2,y,z'
'-x,y,-z'
'x,-y,z'
loop_
_atom_site_label
_atom_site_fract_x
_atom_site_fract_y
_atom_site_fract_z
Ac1 0.250 0.000 0.106
Zn1 0.000 0.000 0.500
Zn2 0.062 0.500 0.765
Zn3 0.250 0.500 0.445
Cu1 0.250 0.000 0.690
```